Below is a geometry-optimized TaTiS2 structure, with properties calculated at the PBE level.

```
12
Lattice="3.187 0.000 0.000 -1.594 2.760 0.000 0.000 0.000 24.083" Properties=species:S:1:pos:R:3 pbc="T T T"
Ta 0.000 0.000 0.000
Ta 0.000 1.840 16.055
Ta 1.594 0.920 8.028
Ti 0.000 0.000 12.042
Ti 0.000 1.840 4.014
Ti 1.594 0.920 20.069
S 0.000 0.000 2.451
S 0.000 0.000 21.632
S 0.000 1.840 13.605
S 0.000 1.840 18.506
S 1.594 0.920 5.577
S 1.594 0.920 10.478
```

Output
Space-group type   R-3m (166)
Size of the total moment   0.0 μB/f.u.
Offset from the most stable computed form   114 meV per atom
Uncorrected formation energy   -640 meV per atom